# La2FeCoO6 (PBE+U, optimized geometry)
data_La2FeCoO6
_cell_length_a 5.479
_cell_length_b 5.457
_cell_length_c 9.461
_cell_angle_alpha 90.00
_cell_angle_beta 125.27
_cell_angle_gamma 90.00
_symmetry_space_group_name_H-M 'P 1 21/c 1'
_symmetry_Int_Tables_number 14
loop_
_symmetry_equiv_pos_as_xyz
'x,y,z'
'-x,-y,-z'
'-x,y+1/2,-z+1/2'
'x,-y+1/2,z+1/2'
loop_
_atom_site_label
_atom_site_type_symbol
_atom_site_fract_x
_atom_site_fract_y
_atom_site_fract_z
_atom_site_occupancy
La1 La 0.244 0.025 0.249 1
Fe1 Fe 0.500 0.000 0.000 1
Co1 Co 0.000 0.000 0.500 1
O1 O 0.182 0.222 0.963 1
O2 O 0.243 0.718 0.964 1
O3 O 0.316 0.010 0.748 1
# Electronic total energy   -0.266 hartree per atom
# Spin magnetization   1.051 μB per formula unit